First-principles (PBE) data for a geometry-optimized RbTlICl structure, as listed in the Alexandria database.

```
data_RbTlICl
_chemical_formula_sum 'Rb4 Tl4 I4 Cl4'
_space_group_name_H-M_alt 'F -4 3 m'
_space_group_IT_number 216
_space_group_name_Hall 'F -4 2 3'
_cell_length_a 8.3691
_cell_length_b 8.3691
_cell_length_c 8.3691
_cell_angle_alpha 90.00
_cell_angle_beta 90.00
_cell_angle_gamma 90.00
loop_
_atom_site_label
_atom_site_type_symbol
_atom_site_fract_x
_atom_site_fract_y
_atom_site_fract_z
_atom_site_occupancy
Rb1 Rb 0.0000 0.0000 0.0000 1
Tl1 Tl 0.0000 0.0000 0.5000 1
I1 I 0.2500 0.2500 0.7500 1
Cl1 Cl 0.2500 0.2500 0.2500 1
```

Computed properties:
energy relative to the elements, uncorrected: -1.194 eV/atom
polymorph energy (0 for the lowest one): 0.23 eV per formula unit
calculated total energy: -2.8764 eV/atom